## Hf4Zr6In (PBE)

Data for a relaxed structure of Hf4Zr6In.

Unit cell a=9.8058 b=9.8058 c=3.1296 alpha=90.00 beta=90.00 gamma=120.00
Space group P-6m2 (No. 187)
Asymmetric unit:
Hf 0.0000 0.0000 0.0000 (multiplicity 1)
Hf 0.5063 0.0125 0.5000 (multiplicity 3)
Zr 0.1598 0.3197 0.5000 (multiplicity 3)
Zr 0.3658 0.1829 0.0000 (multiplicity 3)
In 0.3333 0.6667 0.0000 (multiplicity 1)

As for the formation energy: 0.1780 eV per atom. Its density of states at the Fermi level is 14.05 states/eV/cell. The volume is 23.69 Å³ per atom. The total DFT energy (no corrections) is -8.35 eV per atom.

=====

## CeNdSm2Er (PBE)

Data for a relaxed structure of CeNdSm2Er.

Unit cell a=8.450 b=6.364 c=6.194 alpha=90.00 beta=91.44 gamma=90.00
Space group P2/c (No. 13)
Asymmetric unit:
Ce 0.000 0.045 0.250 (multiplicity 2)
Nd 0.000 0.500 0.000 (multiplicity 2)
Sm 0.309 0.192 0.742 (multiplicity 4)
Er 0.500 0.326 0.250 (multiplicity 2)

As for the formation energy: 0.2769 eV per atom. Its density of states at the Fermi level is 20.23 states/eV/cell. The volume is 33.30 Å³ per atom. The total DFT energy (no corrections) is -4.66 eV per atom.

=====

## Ce2Dy5Ru5 (PBE)

Data for a relaxed structure of Ce2Dy5Ru5.

Unit cell a=14.314 b=3.492 c=11.714 alpha=90.00 beta=105.74 gamma=90.00
Space group C2/m (No. 12)
Asymmetric unit:
Ce 0.022 0.000 0.286 (multiplicity 4)
Dy 0.000 0.500 0.000 (multiplicity 2)
Dy 0.165 0.500 0.557 (multiplicity 4)
Dy 0.233 0.000 0.132 (multiplicity 4)
Ru 0.000 0.000 0.500 (multiplicity 2)
Ru 0.109 0.000 0.890 (multiplicity 4)
Ru 0.180 0.500 0.304 (multiplicity 4)

As for the formation energy: -0.2967 eV per atom. Its density of states at the Fermi level is 12.46 states/eV/cell. The volume is 23.48 Å³ per atom. As for the energy above the lowest structure with this stoichiometry: 0 meV/atom. The total DFT energy (no corrections) is -7.07 eV per atom.

=====

## TbGdAlTl (PBE)

Data for a relaxed structure of TbGdAlTl.

Unit cell a=7.464 b=7.464 c=7.464 alpha=90.00 beta=90.00 gamma=90.00
Space group F-43m (No. 216)
Asymmetric unit:
Tb 0.000 0.000 0.000 (multiplicity 4)
Gd 0.000 0.000 0.500 (multiplicity 4)
Al 0.250 0.250 0.250 (multiplicity 4)
Tl 0.250 0.250 0.750 (multiplicity 4)

As for the formation energy: -0.3459 eV per atom. Its density of states at the Fermi level is 10.44 states/eV/cell. The volume is 25.99 Å³ per atom. The total DFT energy (no corrections) is -6.55 eV per atom.

=====

## Cd2SnCl (PBE)

Data for a relaxed structure of Cd2SnCl.

Unit cell a=4.0059 b=4.0059 c=23.3395 alpha=90.00 beta=90.00 gamma=120.00
Space group R-3m (No. 166, hexagonal axes)
Asymmetric unit:
Cd 0.0000 0.0000 0.2501 (multiplicity 6)
Sn 0.0000 0.0000 0.0000 (multiplicity 3)
Cl 0.0000 0.0000 0.5000 (multiplicity 3)

Its density of states at the Fermi level is 4.72 states/eV/cell. The formation energy from raw total energies is -240 meV per atom. The volume is 27.03 Å³ per atom. As for the energy above the lowest structure with this stoichiometry: 0 meV/atom. The total DFT energy (no corrections) is -2.16 eV per atom.

=====

## In3SnHg7 (PBE)

Data for a relaxed structure of In3SnHg7.

Unit cell a=8.673 b=12.776 c=11.362 alpha=90.00 beta=90.00 gamma=90.00
Space group C222_1 (No. 20)
Asymmetric unit:
In 0.071 0.000 0.000 (multiplicity 4)
In 0.248 0.294 0.387 (multiplicity 8)
Sn 0.051 0.500 0.500 (multiplicity 4)
Hg 0.000 0.091 0.750 (multiplicity 4)
Hg 0.000 0.149 0.250 (multiplicity 4)
Hg 0.000 0.411 0.250 (multiplicity 4)
Hg 0.154 0.342 0.678 (multiplicity 8)
Hg 0.243 0.117 0.550 (multiplicity 8)

As for the formation energy: 0.0587 eV per atom. Its density of states at the Fermi level is 16.60 states/eV/cell. The volume is 28.61 Å³ per atom. As for the energy above the lowest structure with this stoichiometry: 24 meV/atom. The total DFT energy (no corrections) is -1.24 eV per atom.

=====

## LiTaPdPt (PBE)

Data for a relaxed structure of LiTaPdPt.

Unit cell a=6.269 b=6.269 c=6.269 alpha=90.00 beta=90.00 gamma=90.00
Space group F-43m (No. 216)
Asymmetric unit:
Li 0.000 0.000 0.000 (multiplicity 4)
Ta 0.000 0.000 0.500 (multiplicity 4)
Pd 0.250 0.250 0.750 (multiplicity 4)
Pt 0.250 0.250 0.250 (multiplicity 4)

As for the formation energy: -0.4838 eV per atom. Its density of states at the Fermi level is 12.61 states/eV/cell. The volume is 15.40 Å³ per atom. As for the energy above the lowest structure with this stoichiometry: 6 meV/atom. The total DFT energy (no corrections) is -6.73 eV per atom.

=====

## NaTl2P2O6 (PBE)

Data for a relaxed structure of NaTl2P2O6.

Unit cell a=10.558 b=5.996 c=6.850 alpha=90.00 beta=122.09 gamma=90.00
Space group C2/m (No. 12)
Asymmetric unit:
Na 0.000 0.000 0.000 (multiplicity 2)
Tl 0.215 0.000 0.686 (multiplicity 4)
P 0.052 0.500 0.707 (multiplicity 4)
O 0.015 0.284 0.266 (multiplicity 8)
O 0.219 0.500 0.802 (multiplicity 4)

Its density of states at the Fermi level is 2.10 states/eV/cell. The formation energy from raw total energies is -1688 meV per atom. The volume is 16.70 Å³ per atom. The total DFT energy (no corrections) is -5.93 eV per atom.

=====

Question: Which value of total DFT energy (no corrections) does entry 8 give?
Answer: -5.93 eV per atom

=====

Question: Which value of total DFT energy (no corrections) does entry 8 give?
Answer: -5.93 eV per atom